No. 1
## Hf3Au (PBE-GGA)

Data for crystalline Hf3Au at its relaxed geometry.

Output
space-group type = Imm2 (44)
formation energy from the elements = -0.220 eV per atom

Unit cell a=3.199 b=9.871 c=5.321 alpha=90.00 beta=90.00 gamma=90.00
Element x y z (fractional)
1 Hf 0.000 0.000 0.000
2 Hf 0.000 0.226 0.400
3 Hf 0.000 0.774 0.400
4 Hf 0.500 0.274 0.900
5 Hf 0.500 0.500 0.500
6 Hf 0.500 0.726 0.900
7 Au 0.000 0.500 0.055
8 Au 0.500 0.000 0.555

---

No. 2
## HfAu3 (PBE-GGA)

Data for crystalline HfAu3 at its relaxed geometry.

Output
space-group type = R-3m (166)
formation energy from the elements = -0.174 eV per atom

Unit cell a=5.808 b=5.808 c=5.808 alpha=109.31 beta=109.31 gamma=109.31
Element x y z (fractional)
1 Hf 0.250 0.250 0.250
2 Hf 0.750 0.750 0.750
3 Au 0.247 0.747 0.747
4 Au 0.253 0.253 0.753
5 Au 0.253 0.753 0.253
6 Au 0.747 0.247 0.747
7 Au 0.747 0.747 0.247
8 Au 0.753 0.253 0.253

---

No. 3
## Hf5Au (PBE-GGA)

Data for crystalline Hf5Au at its relaxed geometry.

Output
space-group type = Cmmm (65)
formation energy from the elements = -0.121 eV per atom

Unit cell a=4.410 b=13.157 c=4.391 alpha=90.00 beta=90.00 gamma=90.00
Element x y z (fractional)
1 Hf 0.000 0.000 0.000
2 Hf 0.000 0.167 0.500
3 Hf 0.000 0.333 0.000
4 Hf 0.000 0.667 0.000
5 Hf 0.000 0.833 0.500
6 Hf 0.500 0.167 0.000
7 Hf 0.500 0.333 0.500
8 Hf 0.500 0.500 0.000
9 Hf 0.500 0.667 0.500
10 Hf 0.500 0.833 0.000
11 Au 0.000 0.500 0.500
12 Au 0.500 0.000 0.500

---

No. 4
## Hf4Au (PBE-GGA)

Data for crystalline Hf4Au at its relaxed geometry.

Output
space-group type = Pm-3m (221)
formation energy from the elements = 0.783 eV per atom

Unit cell a=5.094 b=5.094 c=5.094 alpha=90.00 beta=90.00 gamma=90.00
Element x y z (fractional)
1 Hf 0.000 0.000 0.000
2 Hf 0.000 0.500 0.500
3 Hf 0.500 0.000 0.500
4 Hf 0.500 0.500 0.000
5 Au 0.500 0.500 0.500